Sr4MnAu after structural relaxation, computed with GGA-PBE.

Computed properties:
- spin magnetization (Bohr magnetons per cell) = 16.6
- DFT formation energy (eV per atom) = 0.7429
- E (eV/cell) = -58.87

Cell and atoms, written as CIF:
```
data_Sr4MnAu
_cell_length_a 9.994
_cell_length_b 9.994
_cell_length_c 9.994
_cell_angle_alpha 90.00
_cell_angle_beta 90.00
_cell_angle_gamma 90.00
_symmetry_space_group_name_H-M 'F -4 3 m'
_symmetry_Int_Tables_number 216
_symmetry_space_group_name_Hall 'F -4 2 3'
loop_
_atom_site_label
_atom_site_type_symbol
_atom_site_fract_x
_atom_site_fract_y
_atom_site_fract_z
Sr1 Sr 0.125 0.125 0.125
Mn1 Mn 0.000 0.000 0.500
Au1 Au 0.250 0.250 0.750
```